[1]
Entry from the Alexandria database: a geometry-optimized Dy4AlZn2Pd structure (PBE).

Values from the calculation:
The density is 8.41 g cm⁻³.

Lattice parameters (Å, degrees): 5.0348 5.0348 24.6815 90.00 90.00 120.00
Space group R-3m (No. 166, hexagonal axes)
Unique sites:
Dy 0.0000 0.0000 0.1218 [6 per cell]
Dy 0.0000 0.0000 0.3726 [6 per cell]
Al 0.0000 0.0000 0.5000 [3 per cell]
Zn 0.0000 0.0000 0.2450 [6 per cell]
Pd 0.0000 0.0000 0.0000 [3 per cell]


[2]
Entry from the Alexandria database: a geometry-optimized Dy2Al5Zn2Pd structure (PBE).

Values from the calculation:
The density is 6.36 g cm⁻³.

Lattice parameters (Å, degrees): 9.532 9.532 4.005 90.00 90.00 90.00
Space group P4/mbm (No. 127)
Unique sites:
Dy 0.181 0.319 0.000 [4 per cell]
Al 0.000 0.500 0.500 [2 per cell]
Al 0.055 0.804 0.500 [8 per cell]
Zn 0.116 0.616 0.000 [4 per cell]
Pd 0.000 0.000 0.000 [2 per cell]


[3]
Entry from the Alexandria database: a geometry-optimized Pm4Dy5Al structure (PBE).

Values from the calculation:
As for the energy above the lowest structure with this stoichiometry: 147 meV/atom. The density is 7.23 g cm⁻³.

Lattice parameters (Å, degrees): 10.682 10.682 5.715 90.00 90.00 90.00
Space group I4mm (No. 107)
Unique sites:
Pm 0.000 0.311 0.000 [8 per cell]
Dy 0.000 0.000 0.198 [2 per cell]
Dy 0.182 0.182 0.507 [8 per cell]
Al 0.000 0.000 0.714 [2 per cell]


[4]
Entry from the Alexandria database: a geometry-optimized Pm4Dy3Al4 structure (PBE).

Values from the calculation:
The density is 6.39 g cm⁻³.

Lattice parameters (Å, degrees): 3.544 9.213 18.722 90.00 90.00 90.00
Space group Immm (No. 71)
Unique sites:
Pm 0.000 0.178 0.165 [8 per cell]
Dy 0.000 0.000 0.406 [4 per cell]
Dy 0.000 0.500 0.500 [2 per cell]
Al 0.000 0.279 0.000 [4 per cell]
Al 0.000 0.500 0.224 [4 per cell]


[5]
Entry from the Alexandria database: a geometry-optimized Pm4Dy5Al structure (PBE).

Values from the calculation:
As for the energy above the lowest structure with this stoichiometry: 0 meV/atom. The density is 7.58 g cm⁻³.

Lattice parameters (Å, degrees): 3.584 3.584 24.221 90.00 90.00 90.00
Space group P4/mmm (No. 123)
Unique sites:
Pm 0.000 0.000 0.105 [2 per cell]
Pm 0.000 0.000 0.316 [2 per cell]
Dy 0.500 0.500 0.000 [1 per cell]
Dy 0.500 0.500 0.211 [2 per cell]
Dy 0.500 0.500 0.424 [2 per cell]
Al 0.000 0.000 0.500 [1 per cell]


[6]
Entry from the Alexandria database: a geometry-optimized PmDyAl structure (PBE).

Values from the calculation:
As for the energy above the lowest structure with this stoichiometry: 401 meV/atom. The density is 5.68 g cm⁻³.

Lattice parameters (Å, degrees): 8.768 3.742 5.960 90.00 90.00 90.00
Space group Pmma (No. 51)
Unique sites:
Pm 0.250 0.000 0.131 [2 per cell]
Dy 0.250 0.500 0.626 [2 per cell]
Al 0.000 0.000 0.500 [2 per cell]


[7]
Entry from the Alexandria database: a geometry-optimized Pm12Dy6Al structure (PBE).

Values from the calculation:
The density is 7.25 g cm⁻³.

Lattice parameters (Å, degrees): 11.9765 11.9765 15.1731 90.00 90.00 120.00
Space group R-3 (No. 148, hexagonal axes)
Unique sites:
Pm 0.0084 0.1760 0.3147 [18 per cell]
Pm 0.0487 0.8487 0.9145 [18 per cell]
Dy 0.0274 0.4353 0.1908 [18 per cell]
Al 0.0000 0.0000 0.5000 [3 per cell]


[8]
Entry from the Alexandria database: a geometry-optimized PmDy2Al structure (PBE).

Values from the calculation:
As for the energy above the lowest structure with this stoichiometry: 185 meV/atom. The density is 7.46 g cm⁻³.

Lattice parameters (Å, degrees): 7.619 7.619 7.619 90.00 90.00 90.00
Space group Fm-3m (No. 225)
Unique sites:
Pm 0.000 0.000 0.000 [4 per cell]
Dy 0.250 0.250 0.250 [8 per cell]
Al 0.000 0.000 0.500 [4 per cell]


[9]
Entry from the Alexandria database: a geometry-optimized Pm2DyAl structure (PBE).

Values from the calculation:
As for the energy above the lowest structure with this stoichiometry: 37 meV/atom. The density is 6.80 g cm⁻³.

Lattice parameters (Å, degrees): 3.556 3.556 9.263 90.00 90.00 90.00
Space group P4/mmm (No. 123)
Unique sites:
Pm 0.000 0.000 0.216 [2 per cell]
Dy 0.500 0.500 0.500 [1 per cell]
Al 0.500 0.500 0.000 [1 per cell]


[10]
Entry from the Alexandria database: a geometry-optimized Pm2Dy3Al structure (PBE).

Values from the calculation:
The density is 7.56 g cm⁻³.

Lattice parameters (Å, degrees): 4.825 15.034 4.870 90.00 90.00 90.00
Space group Cmmm (No. 65)
Unique sites:
Pm 0.000 0.159 0.000 [4 per cell]
Dy 0.000 0.000 0.500 [2 per cell]
Dy 0.000 0.338 0.500 [4 per cell]
Al 0.000 0.500 0.000 [2 per cell]


[11]
Entry from the Alexandria database: a geometry-optimized PmDy4Al structure (PBE).

Values from the calculation:
As for the energy above the lowest structure with this stoichiometry: 207 meV/atom. The density is 7.40 g cm⁻³.

Lattice parameters (Å, degrees): 10.879 3.496 10.758 90.00 115.60 90.00
Space group C2/m (No. 12)
Unique sites:
Pm 0.000 0.000 0.000 [2 per cell]
Dy 0.138 0.000 0.359 [4 per cell]
Dy 0.161 0.500 0.827 [4 per cell]
Al 0.000 0.500 0.500 [2 per cell]


[12]
Entry from the Alexandria database: a geometry-optimized Pm2Dy8Al structure (PBE).

Values from the calculation:
As for the energy above the lowest structure with this stoichiometry: 0 meV/atom. The density is 7.89 g cm⁻³.

Lattice parameters (Å, degrees): 19.246 5.481 6.466 90.00 93.97 90.00
Space group C2/m (No. 12)
Unique sites:
Pm 0.242 0.000 0.333 [4 per cell]
Dy 0.042 0.000 0.254 [4 per cell]
Dy 0.077 0.500 0.604 [4 per cell]
Dy 0.153 0.000 0.815 [4 per cell]
Dy 0.157 0.500 0.122 [4 per cell]
Al 0.000 0.500 0.000 [2 per cell]


[13]
Entry from the Alexandria database: a geometry-optimized PmDy2Al structure (PBE).

Values from the calculation:
As for the energy above the lowest structure with this stoichiometry: 0 meV/atom. The density is 7.29 g cm⁻³.

Lattice parameters (Å, degrees): 3.528 3.528 9.093 90.00 90.00 90.00
Space group P4/mmm (No. 123)
Unique sites:
Pm 0.000 0.000 0.000 [1 per cell]
Dy 0.500 0.500 0.290 [2 per cell]
Al 0.000 0.000 0.500 [1 per cell]


[14]
Entry from the Alexandria database: a geometry-optimized Pm4Dy9Al11 structure (PBE).

Values from the calculation:
The density is 6.60 g cm⁻³.

Lattice parameters (Å, degrees): 15.483 22.528 3.377 90.00 90.00 90.00
Space group Cmmm (No. 65)
Unique sites:
Pm 0.179 0.082 0.000 [8 per cell]
Dy 0.000 0.000 0.000 [2 per cell]
Dy 0.106 0.402 0.000 [8 per cell]
Dy 0.112 0.223 0.000 [8 per cell]
Al 0.000 0.121 0.500 [4 per cell]
Al 0.000 0.310 0.500 [4 per cell]
Al 0.000 0.500 0.500 [2 per cell]
Al 0.191 0.500 0.500 [4 per cell]
Al 0.224 0.312 0.500 [8 per cell]


[15]
Entry from the Alexandria database: a geometry-optimized PmDy5Al3 structure (PBE).

Values from the calculation:
The density is 7.19 g cm⁻³.

Lattice parameters (Å, degrees): 9.1186 9.1186 6.6645 90.00 90.00 120.00
Space group P6_3/mcm (No. 193)
Unique sites:
Pm 0.0000 0.0000 0.0000 [2 per cell]
Dy 0.0000 0.3321 0.2500 [6 per cell]
Dy 0.3333 0.6667 0.0000 [4 per cell]
Al 0.0000 0.3379 0.7500 [6 per cell]


[16]
Entry from the Alexandria database: a geometry-optimized PmDy3Al2 structure (PBE).

Values from the calculation:
As for the energy above the lowest structure with this stoichiometry: 0 meV/atom. The density is 7.13 g cm⁻³.

Lattice parameters (Å, degrees): 3.556 3.556 12.650 90.00 90.00 90.00
Space group P4/mmm (No. 123)
Unique sites:
Pm 0.000 0.000 0.000 [1 per cell]
Dy 0.500 0.500 0.206 [2 per cell]
Dy 0.500 0.500 0.500 [1 per cell]
Al 0.000 0.000 0.352 [2 per cell]


[17]
Entry from the Alexandria database: a geometry-optimized Pm3Dy2Al3 structure (PBE).

Values from the calculation:
The density is 6.61 g cm⁻³.

Lattice parameters (Å, degrees): 8.5657 8.5657 3.3239 90.00 90.00 120.00
Space group P-62m (No. 189)
Unique sites:
Pm 0.0000 0.7556 0.0000 [3 per cell]
Dy 0.3333 0.6667 0.0000 [2 per cell]
Al 0.0000 0.3861 0.5000 [3 per cell]


[18]
Entry from the Alexandria database: a geometry-optimized Pm2Dy3Al3 structure (PBE).

Values from the calculation:
As for the energy above the lowest structure with this stoichiometry: 17 meV/atom. The density is 6.85 g cm⁻³.

Lattice parameters (Å, degrees): 4.824 4.836 8.923 90.00 90.00 90.00
Space group Pmmm (No. 47)
Unique sites:
Pm 0.000 0.000 0.233 [2 per cell]
Dy 0.500 0.000 0.500 [1 per cell]
Dy 0.500 0.500 0.223 [2 per cell]
Al 0.000 0.500 0.000 [1 per cell]
Al 0.000 0.500 0.500 [1 per cell]
Al 0.500 0.000 0.000 [1 per cell]


[19]
Entry from the Alexandria database: a geometry-optimized Pm4DyAl structure (PBE).

Values from the calculation:
As for the energy above the lowest structure with this stoichiometry: 0 meV/atom. The density is 6.86 g cm⁻³.

Lattice parameters (Å, degrees): 3.595 3.595 14.406 90.00 90.00 90.00
Space group P4/mmm (No. 123)
Unique sites:
Pm 0.000 0.000 0.136 [2 per cell]
Pm 0.500 0.500 0.322 [2 per cell]
Dy 0.000 0.000 0.500 [1 per cell]
Al 0.500 0.500 0.000 [1 per cell]


[20]
Entry from the Alexandria database: a geometry-optimized Pm2Dy6Al structure (PBE).

Values from the calculation:
The density is 7.70 g cm⁻³.

Lattice parameters (Å, degrees): 3.505 10.177 15.615 90.00 90.00 90.00
Space group Immm (No. 71)
Unique sites:
Pm 0.000 0.000 0.146 [4 per cell]
Dy 0.000 0.277 0.500 [4 per cell]
Dy 0.000 0.341 0.177 [8 per cell]
Al 0.000 0.500 0.000 [2 per cell]


[21]
Entry from the Alexandria database: a geometry-optimized Pm9Dy4Al11 structure (PBE).

Values from the calculation:
The density is 6.11 g cm⁻³.

Lattice parameters (Å, degrees): 15.848 22.262 3.468 90.00 90.00 90.00
Space group Cmmm (No. 65)
Unique sites:
Pm 0.000 0.000 0.000 [2 per cell]
Pm 0.112 0.408 0.000 [8 per cell]
Pm 0.113 0.230 0.000 [8 per cell]
Dy 0.171 0.085 0.000 [8 per cell]
Al 0.000 0.123 0.500 [4 per cell]
Al 0.000 0.317 0.500 [4 per cell]
Al 0.000 0.500 0.500 [2 per cell]
Al 0.216 0.500 0.500 [4 per cell]
Al 0.232 0.316 0.500 [8 per cell]


[22]
Entry from the Alexandria database: a geometry-optimized Pm2Dy3Al3 structure (PBE).

Values from the calculation:
As for the energy above the lowest structure with this stoichiometry: 0 meV/atom. The density is 6.81 g cm⁻³.

Lattice parameters (Å, degrees): 3.714 5.149 21.895 90.00 90.00 90.00
Space group Immm (No. 71)
Unique sites:
Pm 0.000 0.000 0.229 [4 per cell]
Dy 0.000 0.000 0.000 [2 per cell]
Dy 0.000 0.500 0.117 [4 per cell]
Al 0.000 0.000 0.500 [2 per cell]
Al 0.000 0.500 0.387 [4 per cell]


Across the entries above, formation energy takes the values -0.502; -0.436; 0.084; -0.225; -0.063; 0.167; 0.083; -0.007; -0.149; -0.082; 0.090; -0.033; -0.192; -0.320; -0.257; -0.253; -0.227; -0.261; -0.100; 0.030; -0.301; -0.277 eV/atom, respectively.
Across the entries above, volume takes the values 181; 182; 326; 306; 311; 98; 628; 111; 117; 177; 185; 340; 113; 589; 240; 160; 211; 208; 186; 278; 612; 209 Å³/f.u., respectively.
Across the entries above, energy takes the values -101.72; -80.04; -89.84; -100.50; -46.39; -25.19; -260.33; -70.90; -18.44; -55.09; -52.72; -100.84; -18.47; -218.53; -82.61; -27.56; -36.50; -36.62; -27.94; -81.18; -219.12; -73.51 eV/cell, respectively.